# Pr2CdSn4Pd3 (GGA-PBE, relaxed)
# Density ... 8.4 g/cm3
# Total moment ... 0.0 μB per cell
# ΔE_f ... -681 meV/atom
data_Pr2CdSn4Pd3
_chemical_formula_sum 'Pr2 Cd1 Sn4 Pd3'
_cell_length_a 4.5213
_cell_length_b 4.5213
_cell_length_c 11.4851
_cell_angle_alpha 90.00
_cell_angle_beta 90.00
_cell_angle_gamma 90.00
_space_group_name_H-M_alt 'P -4 m 2'
_space_group_IT_number 115
loop_
_space_group_symop_operation_xyz
'x,y,z'
'y,-x,-z'
'-x,-y,z'
'-y,x,-z'
'-x,y,z'
'-y,-x,-z'
'x,-y,z'
'y,x,-z'
loop_
_atom_site_label
_atom_site_type_symbol
_atom_site_fract_x
_atom_site_fract_y
_atom_site_fract_z
_atom_site_occupancy
Pr1 Pr 0.0000 0.5000 0.2479 1
Cd1 Cd 0.0000 0.0000 0.5000 1
Sn1 Sn 0.0000 0.0000 0.0000 1
Sn2 Sn 0.0000 0.5000 0.6444 1
Sn3 Sn 0.5000 0.5000 0.0000 1
Pd1 Pd 0.0000 0.5000 0.8712 1
Pd2 Pd 0.5000 0.5000 0.5000 1

# KCdHg2Pt (GGA-PBE, relaxed)
# Density ... 8.1 g/cm3
# Total moment ... 0.0 μB per cell
# ΔE_f ... -270 meV/atom
data_KCdHg2Pt
_chemical_formula_sum 'K1 Cd1 Hg2 Pt1'
_cell_length_a 5.3828
_cell_length_b 5.3828
_cell_length_c 5.2953
_cell_angle_alpha 90.00
_cell_angle_beta 90.00
_cell_angle_gamma 90.00
_space_group_name_H-M_alt 'P 4/m m m'
_space_group_IT_number 123
_space_group_name_Hall '-P 4 2'
loop_
_atom_site_label
_atom_site_type_symbol
_atom_site_fract_x
_atom_site_fract_y
_atom_site_fract_z
_atom_site_occupancy
K1 K 0.0000 0.0000 0.0000 1
Cd1 Cd 0.5000 0.5000 0.0000 1
Hg1 Hg 0.0000 0.5000 0.5000 1
Pt1 Pt 0.5000 0.5000 0.5000 1

# TiP2O7 (GGA-PBE, relaxed)
# VASP energy ... -7.7204 eV/atom
# Density ... 2.8 g/cm3
# Total moment ... 0.1 μB per cell
data_TiP2O7
_chemical_formula_sum 'Ti2 P4 O14'
_cell_length_a 6.4027
_cell_length_b 6.5413
_cell_length_c 7.0222
_cell_angle_alpha 93.22
_cell_angle_beta 117.06
_cell_angle_gamma 90.73
_space_group_name_H-M_alt 'P -1'
_space_group_IT_number 2
loop_
_space_group_symop_operation_xyz
'x,y,z'
'-x,-y,-z'
loop_
_atom_site_label
_atom_site_type_symbol
_atom_site_fract_x
_atom_site_fract_y
_atom_site_fract_z
_atom_site_occupancy
Ti1 Ti 0.0986 0.3384 0.2034 1
P1 P 0.2231 0.8555 0.2802 1
P2 P 0.3188 0.6332 0.6528 1
O1 O 0.0564 0.6713 0.1204 1
O2 O 0.0848 0.0573 0.2200 1
O3 O 0.2124 0.6397 0.8074 1
O4 O 0.2121 0.8180 0.5020 1
O5 O 0.2332 0.4411 0.4948 1
O6 O 0.4133 0.3452 0.2252 1
O7 O 0.4590 0.8609 0.2945 1

# Zn2CoIr (GGA-PBE, relaxed)
# Density ... 11.8 g/cm3
# Total moment ... 1.4 μB per cell
# ΔE_f ... 8 meV/atom
data_Zn2CoIr
_chemical_formula_sum 'Zn2 Co1 Ir1'
_cell_length_a 2.6954
_cell_length_b 4.2394
_cell_length_c 4.7169
_cell_angle_alpha 90.00
_cell_angle_beta 95.13
_cell_angle_gamma 90.00
_space_group_name_H-M_alt 'P 1 2/m 1'
_space_group_IT_number 10
loop_
_space_group_symop_operation_xyz
'x,y,z'
'-x,-y,-z'
'-x,y,-z'
'x,-y,z'
loop_
_atom_site_label
_atom_site_type_symbol
_atom_site_fract_x
_atom_site_fract_y
_atom_site_fract_z
_atom_site_occupancy
Zn1 Zn 0.2157 0.0000 0.2569 1
Co1 Co 0.0000 0.5000 0.5000 1
Ir1 Ir 0.5000 0.5000 0.0000 1

# ThCoTcB2 (GGA-PBE, relaxed)
# Density ... 9.6 g/cm3
# Total moment ... 0.0 μB per cell
# ΔE_f ... -398 meV/atom
data_ThCoTcB2
_chemical_formula_sum 'Th2 Co2 Tc2 B4'
_cell_length_a 3.8509
_cell_length_b 3.8509
_cell_length_c 9.6159
_cell_angle_alpha 90.00
_cell_angle_beta 90.00
_cell_angle_gamma 90.00
_space_group_name_H-M_alt 'I -4 m 2'
_space_group_IT_number 119
_space_group_name_Hall 'I -4 -2'
loop_
_atom_site_label
_atom_site_type_symbol
_atom_site_fract_x
_atom_site_fract_y
_atom_site_fract_z
_atom_site_occupancy
Th1 Th 0.0000 0.0000 0.0000 1
Co1 Co 0.0000 0.5000 0.7500 1
Tc1 Tc 0.0000 0.5000 0.2500 1
B1 B 0.0000 0.0000 0.3388 1

# K2RbThI8 (GGA-PBE, relaxed)
# VASP energy ... -3.1354 eV/atom
# Density ... 3.6 g/cm3
# Total moment ... 0.0 μB per cell
data_K2RbThI8
_chemical_formula_sum 'K2 Rb1 Th1 I8'
_cell_length_a 6.9854
_cell_length_b 8.4159
_cell_length_c 11.0558
_cell_angle_alpha 89.96
_cell_angle_beta 89.84
_cell_angle_gamma 89.48
_space_group_name_H-M_alt 'P -1'
_space_group_IT_number 2
loop_
_space_group_symop_operation_xyz
'x,y,z'
'-x,-y,-z'
loop_
_atom_site_label
_atom_site_type_symbol
_atom_site_fract_x
_atom_site_fract_y
_atom_site_fract_z
_atom_site_occupancy
K1 K 0.0016 0.9997 0.2266 1
Rb1 Rb 0.5000 0.5000 0.5000 1
Th1 Th 0.5000 0.5000 0.0000 1
I1 I 0.2519 0.3668 0.2069 1
I2 I 0.2538 0.3649 0.7940 1
I3 I 0.2579 0.9862 0.5001 1
I4 I 0.2734 0.8152 0.9988 1